Material: Zr2VGa
Method: DFT, PBE-GGA
State: optimized geometry

a = 3.783 Å, b = 4.442 Å, c = 4.442 Å
α = 90.00°, β = 90.00°, γ = 90.00°
Atoms (fractional coordinates):
Zr (0.000, 0.500, 0.000)
Ga (0.500, 0.000, 0.000)
Zr (0.000, 0.000, 0.500)
V (0.500, 0.500, 0.500)

The calculated volume is 18.66 Å³/atom. Its space group is No. 123. Its total magnetic moment is 1.6 μB/f.u. Its total energy is -30.08 eV per cell. The mass density comes out at 6744 kg/m³.


Material: ZrV6Ga6
Method: DFT, PBE-GGA
State: optimized geometry

a = 5.142 Å, b = 6.789 Å, c = 6.789 Å
α = 82.30°, β = 67.75°, γ = 67.75°
Atoms (fractional coordinates):
Ga (0.674, 0.826, 0.826)
V (0.000, 0.000, 0.500)
V (0.500, 0.000, 0.500)
Ga (0.661, 0.339, 0.339)
V (0.500, 0.242, 0.758)
V (0.000, 0.500, 0.000)
Ga (0.339, 0.661, 0.661)
V (0.500, 0.758, 0.242)
Ga (0.000, 0.316, 0.684)
Ga (0.000, 0.684, 0.316)
Ga (0.326, 0.174, 0.174)
V (0.500, 0.500, 0.000)
Zr (0.000, 0.000, 0.000)

The calculated volume is 15.61 Å³/atom. Its space group is No. 71. Its total magnetic moment is 0.0 μB/f.u. Its total energy is -84.62 eV per cell. The mass density comes out at 6669 kg/m³.


Material: Zr3VGa
Method: DFT, PBE-GGA
State: optimized geometry

a = 5.009 Å, b = 5.009 Å, c = 5.009 Å
α = 90.00°, β = 90.00°, γ = 90.00°
Atoms (fractional coordinates):
Ga (0.000, 0.000, 0.000)
V (0.500, 0.500, 0.500)
Zr (0.000, 0.000, 0.500)
Zr (0.000, 0.500, 0.000)
Zr (0.500, 0.000, 0.000)

The calculated volume is 25.14 Å³/atom. Its space group is No. 221. Its total magnetic moment is 3.3 μB/f.u. The energy above the most stable polymorph in this dataset comes out at 225 meV/atom. The mass density comes out at 5210 kg/m³.


Material: Zr3VGa
Method: DFT, PBE-GGA
State: optimized geometry

a = 4.848 Å, b = 4.848 Å, c = 4.848 Å
α = 90.00°, β = 90.00°, γ = 90.00°
Atoms (fractional coordinates):
V (0.000, 0.000, 0.000)
Zr (0.500, 0.000, 0.000)
Ga (0.500, 0.500, 0.500)
Zr (0.000, 0.500, 0.000)
Zr (0.000, 0.000, 0.500)

The calculated volume is 22.79 Å³/atom. Its space group is No. 221. Its total magnetic moment is 0.0 μB/f.u. The energy above the most stable polymorph in this dataset comes out at 0 meV/atom. The mass density comes out at 5746 kg/m³.


Material: ZrVGa
Method: DFT, PBE-GGA
State: optimized geometry

a = 3.523 Å, b = 7.123 Å, c = 8.346 Å
α = 90.00°, β = 90.00°, γ = 90.00°
Atoms (fractional coordinates):
Ga (0.750, 0.750, 0.133)
Zr (0.250, 0.948, 0.332)
Ga (0.250, 0.250, 0.867)
Zr (0.750, 0.552, 0.832)
V (0.250, 0.891, 0.937)
Ga (0.250, 0.750, 0.633)
V (0.750, 0.609, 0.437)
Ga (0.750, 0.250, 0.367)
Zr (0.750, 0.052, 0.668)
Zr (0.250, 0.448, 0.168)
V (0.750, 0.109, 0.063)
V (0.250, 0.391, 0.563)

The calculated volume is 17.45 Å³/atom. Its space group is No. 62. Its total magnetic moment is 0.0 μB/f.u. The energy above the most stable polymorph in this dataset comes out at 0 meV/atom. The mass density comes out at 6720 kg/m³.


Material: ZrV2Ga4
Method: DFT, PBE-GGA
State: optimized geometry

a = 5.201 Å, b = 5.270 Å, c = 5.270 Å
α = 75.84°, β = 60.41°, γ = 60.41°
Atoms (fractional coordinates):
V (0.250, 0.500, 0.500)
Ga (0.698, 0.605, 0.000)
Ga (0.302, 0.395, 0.000)
Zr (0.000, 0.000, 0.000)
Ga (0.698, 0.000, 0.605)
Ga (0.302, 0.000, 0.395)
V (0.750, 0.500, 0.500)

The calculated volume is 15.60 Å³/atom. Its space group is No. 139. Its total magnetic moment is 0.0 μB/f.u. Its total energy is -41.61 eV per cell. The mass density comes out at 7175 kg/m³.


Material: ZrV4Ga6
Method: DFT, PBE-GGA
State: optimized geometry

a = 6.559 Å, b = 6.559 Å, c = 6.559 Å
α = 90.62°, β = 119.64°, γ = 119.64°
Atoms (fractional coordinates):
Zr (0.000, 0.000, 0.000)
V (0.307, 0.712, 0.712)
Ga (0.633, 0.093, 0.093)
Ga (0.500, 0.000, 0.500)
V (0.693, 0.405, 0.405)
Ga (0.500, 0.500, 0.000)
Ga (0.000, 0.907, 0.539)
V (0.000, 0.288, 0.595)
V (0.000, 0.595, 0.288)
Ga (0.367, 0.461, 0.461)
Ga (0.000, 0.539, 0.907)

The calculated volume is 18.24 Å³/atom. Its space group is No. 121. Its total magnetic moment is 0.0 μB/f.u. Its total energy is -62.62 eV per cell. The mass density comes out at 5904 kg/m³.


Material: Ga5W
Method: DFT, PBE-GGA
State: optimized geometry

a = 3.581 Å, b = 4.372 Å, c = 6.663 Å
α = 109.15°, β = 90.00°, γ = 90.00°
Atoms (fractional coordinates):
Ga (0.500, 0.830, 0.660)
Ga (0.500, 0.500, 0.000)
Ga (0.000, 0.653, 0.306)
Ga (0.500, 0.170, 0.340)
Ga (0.000, 0.347, 0.694)
W (0.000, 0.000, 0.000)

The calculated volume is 16.42 Å³/atom. Its space group is No. 65. Its total magnetic moment is 0.0 μB/f.u. Its total energy is -26.77 eV per cell. The mass density comes out at 8972 kg/m³.


Material: Ga4W
Method: DFT, PBE-GGA
State: optimized geometry

a = 4.954 Å, b = 4.954 Å, c = 4.954 Å
α = 90.00°, β = 90.00°, γ = 90.00°
Atoms (fractional coordinates):
W (0.500, 0.500, 0.500)
Ga (0.500, 0.500, 0.000)
Ga (0.000, 0.500, 0.500)
Ga (0.500, 0.000, 0.500)
Ga (0.000, 0.000, 0.000)

The calculated volume is 24.32 Å³/atom. Its space group is No. 221. Its total magnetic moment is 0.0 μB/f.u. The energy above the most stable polymorph in this dataset comes out at 579 meV/atom. The mass density comes out at 6320 kg/m³.


Material: Ga3W
Method: DFT, PBE-GGA
State: optimized geometry

a = 2.895 Å, b = 4.850 Å, c = 5.332 Å
α = 117.05°, β = 105.75°, γ = 90.00°
Atoms (fractional coordinates):
Ga (0.500, 0.496, 0.000)
Ga (0.742, 0.072, 0.484)
W (0.000, 0.011, 0.000)
Ga (0.258, 0.588, 0.516)

The calculated volume is 15.87 Å³/atom. Its space group is No. 44. Its total magnetic moment is 0.0 μB/f.u. The energy above the most stable polymorph in this dataset comes out at 11 meV/atom. The mass density comes out at 10280 kg/m³.


Material: Ga3W
Method: DFT, PBE-GGA
State: optimized geometry

a = 3.833 Å, b = 3.833 Å, c = 5.022 Å
α = 112.43°, β = 112.43°, γ = 90.00°
Atoms (fractional coordinates):
Ga (0.250, 0.750, 0.500)
Ga (0.750, 0.250, 0.500)
Ga (0.500, 0.500, 0.000)
W (0.000, 0.000, 0.000)

The calculated volume is 15.53 Å³/atom. Its space group is No. 139. Its total magnetic moment is 0.3 μB/f.u. The energy above the most stable polymorph in this dataset comes out at 33 meV/atom. The mass density comes out at 10507 kg/m³.


Material: Ga3W
Method: DFT, PBE-GGA
State: optimized geometry

a = 2.809 Å, b = 4.725 Å, c = 4.795 Å
α = 90.00°, β = 90.00°, γ = 90.00°
Atoms (fractional coordinates):
Ga (0.500, 0.000, 0.506)
Ga (0.500, 0.500, 0.827)
Ga (0.000, 0.500, 0.320)
W (0.000, 0.000, 0.013)

The calculated volume is 15.91 Å³/atom. Its space group is No. 25. Its total magnetic moment is 0.0 μB/f.u. The energy above the most stable polymorph in this dataset comes out at 0 meV/atom. The mass density comes out at 10254 kg/m³.